(1)
## Ta3NiAs (GGA-PBE)

Data for a relaxed Ta3NiAs crystal.

Cell and atoms, written as POSCAR:
```
Ta3NiAs
1.0
4.605 0.000 0.000
0.000 4.605 0.000
0.000 0.000 4.605
Ta As Ni
3 1 1
direct
0.500 0.000 0.000 Ta
0.000 0.000 0.500 Ta
0.000 0.500 0.000 Ta
0.500 0.500 0.500 As
0.000 0.000 0.000 Ni
```

Values from the calculation:
ΔE to the lowest computed polymorph = 0.0 meV/atom
SG = Pm-3m, No. 221
formation enthalpy at 0 K = 407 kJ/mol of formula units


(2)
## Ho2ScN (GGA-PBE)

Data for a relaxed Ho2ScN crystal.

Cell and atoms, written as POSCAR:
```
Ho2ScN
1.0
-1.225 -2.976 1.079
0.021 -2.693 -2.066
7.740 -4.145 2.695
Ho Sc N
2 1 1
direct
0.117 0.117 0.648 Ho
0.883 0.883 0.352 Ho
0.000 0.000 0.000 Sc
0.500 0.500 0.500 N
```

Values from the calculation:
SG = R-3m, No. 166
energy relative to the elements, uncorrected = -0.65 eV per atom


(3)
## Pm2Ga4NiAu3 (GGA-PBE)

Data for a relaxed Pm2Ga4NiAu3 crystal.

Cell and atoms, written as POSCAR:
```
Pm2Ga4NiAu3
1.0
-4.317 0.294 0.102
-0.202 -1.567 -4.030
-0.582 -9.880 3.871
Au Pm Ga Ni
3 2 4 1
direct
0.000 0.500 0.141 Au
0.500 0.000 0.859 Au
0.000 0.000 0.500 Au
0.000 0.500 0.740 Pm
0.500 0.000 0.260 Pm
0.500 0.500 0.000 Ga
0.000 0.000 0.000 Ga
0.000 0.500 0.379 Ga
0.500 0.000 0.621 Ga
0.500 0.500 0.500 Ni
```

Values from the calculation:
SG = P-4m2, No. 115
formation enthalpy at 0 K = -583 kJ/mol of formula units


(4)
## YbB3O6 (GGA-PBE)

Data for a relaxed YbB3O6 crystal.

Cell and atoms, written as POSCAR:
```
YbB3O6
1.0
-2.620 5.693 -1.843
-5.983 -2.042 -1.644
-4.847 2.190 3.204
B O Yb
6 12 2
direct
0.315 0.186 0.115 B
0.186 0.315 0.615 B
0.814 0.685 0.385 B
0.685 0.814 0.885 B
0.249 0.751 0.250 B
0.751 0.249 0.750 B
0.660 0.838 0.439 O
0.340 0.162 0.561 O
0.751 0.051 0.699 O
0.051 0.751 0.199 O
0.162 0.340 0.061 O
0.949 0.249 0.801 O
0.838 0.660 0.939 O
0.448 0.750 0.002 O
0.250 0.552 0.498 O
0.750 0.448 0.502 O
0.249 0.949 0.301 O
0.552 0.250 0.998 O
0.249 0.751 0.750 Yb
0.751 0.249 0.250 Yb
```

Values from the calculation:
SG = C2/c, No. 15
energy relative to the elements, uncorrected = -2.53 eV per atom


(5)
## KTlSi2 (GGA-PBE)

Data for a relaxed KTlSi2 crystal.

Cell and atoms, written as POSCAR:
```
KTlSi2
1.0
0.000 3.674 3.674
3.674 0.000 3.674
3.674 3.674 0.000
Si K Tl
2 1 1
direct
0.750 0.750 0.750 Si
0.250 0.250 0.250 Si
0.000 0.000 0.000 K
0.500 0.500 0.500 Tl
```

Values from the calculation:
ΔE to the lowest computed polymorph = 566.6 meV/atom
SG = Fm-3m, No. 225
energy relative to the elements, uncorrected = 0.68 eV per atom


(6)
## Ta3InSi (GGA-PBE)

Data for a relaxed Ta3InSi crystal.

Cell and atoms, written as POSCAR:
```
Ta3InSi
1.0
-2.128 4.354 -1.126
-2.253 0.045 4.436
3.892 2.407 1.953
In Ta Si
1 3 1
direct
0.000 0.000 0.000 In
0.000 0.500 0.000 Ta
0.500 0.000 0.000 Ta
0.000 0.000 0.500 Ta
0.500 0.500 0.500 Si
```

Values from the calculation:
ΔE to the lowest computed polymorph = 1596.1 meV/atom
SG = Pm-3m, No. 221
energy relative to the elements, uncorrected = 2.32 eV per atom


(7)
## NaLi2Pa3N6 (GGA-PBE)

Data for a relaxed NaLi2Pa3N6 crystal.

Cell and atoms, written as POSCAR:
```
NaLi2Pa3N6
1.0
3.571 0.000 0.000
0.000 6.731 0.552
-1.786 -1.618 7.193
Na N Pa Li
1 6 3 2
direct
0.500 0.000 0.000 Na
0.340 0.395 0.681 N
0.679 0.047 0.359 N
0.660 0.605 0.319 N
0.321 0.953 0.641 N
0.985 0.286 0.970 N
0.015 0.714 0.030 N
0.500 0.500 0.000 Pa
0.830 0.171 0.661 Pa
0.170 0.829 0.339 Pa
0.823 0.642 0.647 Li
0.177 0.358 0.353 Li
```

Values from the calculation:
SG = C2/m, No. 12
energy relative to the elements, uncorrected = -1.28 eV per atom


(8)
## Li2TaCo (GGA-PBE)

Data for a relaxed Li2TaCo crystal.

Cell and atoms, written as POSCAR:
```
Li2TaCo
1.0
-0.796 1.682 4.949
-2.333 -4.186 -2.232
1.917 -1.505 0.820
Ta Co Li
1 1 2
direct
0.500 0.000 0.500 Ta
0.000 0.500 0.500 Co
0.500 0.500 0.000 Li
0.000 0.000 0.000 Li
```

Values from the calculation:
ΔE to the lowest computed polymorph = 236.2 meV/atom
SG = Cmmm, No. 65
formation enthalpy at 0 K = 155 kJ/mol of formula units


(9)
## K2Zn3AgSn4 (GGA-PBE)

Data for a relaxed K2Zn3AgSn4 crystal.

Cell and atoms, written as POSCAR:
```
K2Zn3AgSn4
1.0
-3.789 2.419 1.507
-2.782 -3.682 -1.085
1.518 -4.310 10.734
Zn K Sn Ag
3 2 4 1
direct
0.000 0.000 0.500 Zn
0.500 0.000 0.861 Zn
0.000 0.500 0.139 Zn
0.500 0.000 0.255 K
0.000 0.500 0.745 K
0.000 0.500 0.371 Sn
0.000 0.000 0.000 Sn
0.500 0.500 0.000 Sn
0.500 0.000 0.629 Sn
0.500 0.500 0.500 Ag
```

Values from the calculation:
SG = P-4m2, No. 115
formation enthalpy at 0 K = -105 kJ/mol of formula units


(10)
## Ba2Al2Si (GGA-PBE)

Data for a relaxed Ba2Al2Si crystal.

Cell and atoms, written as POSCAR:
```
Ba2Al2Si
1.0
5.136 0.000 0.000
0.000 4.036 -1.310
0.000 0.103 7.191
Al Ba Si
2 2 1
direct
0.500 0.306 0.612 Al
0.500 0.509 0.019 Al
0.000 0.683 0.367 Ba
0.000 0.932 0.864 Ba
0.500 0.112 0.223 Si
```

Values from the calculation:
ΔE to the lowest computed polymorph = 0.0 meV/atom
SG = Amm2, No. 38
energy relative to the elements, uncorrected = -0.18 eV per atom


(11)
## Li5B8C8 (GGA-PBE)

Data for a relaxed Li5B8C8 crystal.

Cell and atoms, written as POSCAR:
```
Li5B8C8
1.0
-3.838 6.308 -2.237
-1.205 -7.595 0.632
-1.544 0.568 4.393
C Li B
8 5 8
direct
0.123 0.377 0.172 C
0.372 0.627 0.671 C
0.628 0.373 0.329 C
0.374 0.126 0.832 C
0.877 0.623 0.828 C
0.873 0.128 0.671 C
0.626 0.874 0.168 C
0.127 0.872 0.329 C
0.258 0.758 0.000 Li
0.000 0.000 0.000 Li
0.742 0.242 0.000 Li
0.500 0.500 0.000 Li
0.000 0.500 0.500 Li
0.123 0.377 0.832 B
0.877 0.623 0.168 B
0.377 0.626 0.336 B
0.623 0.374 0.664 B
0.126 0.877 0.664 B
0.376 0.124 0.171 B
0.624 0.876 0.829 B
0.874 0.123 0.336 B
```

Values from the calculation:
ΔE to the lowest computed polymorph = 6.4 meV/atom
SG = C2/m, No. 12
formation enthalpy at 0 K = -281 kJ/mol of formula units


(12)
## BaCr3Hg (GGA-PBE)

Data for a relaxed BaCr3Hg crystal.

Cell and atoms, written as POSCAR:
```
BaCr3Hg
1.0
-4.620 1.835 1.674
0.721 -2.392 4.612
2.377 4.293 1.855
Cr Ba Hg
3 1 1
direct
0.500 0.000 0.000 Cr
0.000 0.000 0.500 Cr
0.000 0.500 0.000 Cr
0.000 0.000 0.000 Ba
0.500 0.500 0.500 Hg
```

Values from the calculation:
ΔE to the lowest computed polymorph = 1203.4 meV/atom
SG = Pm-3m, No. 221
formation enthalpy at 0 K = 1079 kJ/mol of formula units